Entry 1:
A plane-wave DFT calculation with PBE was carried out for crystalline Pa2Te3H at its relaxed geometry.

Summary:
Its crystal system is orthorhombic. For the electronic total energy, the calculation gives -5.673 eV per atom.

Structure (CIF):
```
data_Pa2Te3H
_chemical_formula_sum 'Pa4 Te6 H2'
_space_group_name_H-M_alt 'P 1'
_space_group_IT_number 1
_cell_length_a 6.824
_cell_length_b 6.824
_cell_length_c 6.803
_cell_angle_alpha 90.00
_cell_angle_beta 90.00
_cell_angle_gamma 95.66
loop_
_space_group_symop_operation_xyz
'x,y,z'
loop_
_atom_site_label
_atom_site_type_symbol
_atom_site_fract_x
_atom_site_fract_y
_atom_site_fract_z
Pa1 Pa 0.227 0.227 0.000
Pa2 Pa 0.227 0.227 0.500
Pa3 Pa 0.773 0.773 0.000
Pa4 Pa 0.773 0.773 0.500
Te1 Te 0.085 0.566 0.250
Te2 Te 0.414 0.586 0.750
Te3 Te 0.434 0.915 0.250
Te4 Te 0.566 0.085 0.750
Te5 Te 0.586 0.414 0.250
Te6 Te 0.915 0.434 0.750
H1 H 0.022 0.978 0.750
H2 H 0.978 0.022 0.250
```


Entry 2:
A plane-wave DFT calculation with PBE was carried out for crystalline LaTb4Nd10 at its relaxed geometry.

Summary:
The value obtained for the calculated formation energy is 497.9 meV per atom. Its crystal system is tetragonal.

Structure (CIF):
```
data_LaTb4Nd10
_chemical_formula_sum 'La1 Tb4 Nd10'
_space_group_name_H-M_alt 'P 1'
_space_group_IT_number 1
_cell_length_a 9.708
_cell_length_b 9.708
_cell_length_c 9.708
_cell_angle_alpha 97.30
_cell_angle_beta 97.30
_cell_angle_gamma 138.23
loop_
_space_group_symop_operation_xyz
'x,y,z'
loop_
_atom_site_label
_atom_site_type_symbol
_atom_site_fract_x
_atom_site_fract_y
_atom_site_fract_z
La1 La 0.000 0.000 0.000
Tb1 Tb 0.323 0.567 0.890
Tb2 Tb 0.433 0.323 0.756
Tb3 Tb 0.567 0.677 0.244
Tb4 Tb 0.677 0.433 0.110
Nd1 Nd 0.044 0.882 0.419
Nd2 Nd 0.118 0.536 0.161
Nd3 Nd 0.250 0.750 0.500
Nd4 Nd 0.375 0.956 0.839
Nd5 Nd 0.464 0.625 0.581
Nd6 Nd 0.536 0.375 0.419
Nd7 Nd 0.625 0.044 0.161
Nd8 Nd 0.750 0.250 0.500
Nd9 Nd 0.882 0.464 0.839
Nd10 Nd 0.956 0.118 0.581
```


Entry 3:
A plane-wave DFT calculation with PBE was carried out for crystalline Sr2ScUP4 at its relaxed geometry.

Summary:
The value obtained for the calculated formation energy is -1134.5 meV per atom. Its crystal system is monoclinic.

Structure (CIF):
```
data_Sr2ScUP4
_chemical_formula_sum 'Sr2 Sc1 U1 P4'
_space_group_name_H-M_alt 'P 1'
_space_group_IT_number 1
_cell_length_a 6.952
_cell_length_b 4.089
_cell_length_c 7.254
_cell_angle_alpha 90.00
_cell_angle_beta 108.69
_cell_angle_gamma 90.00
loop_
_space_group_symop_operation_xyz
'x,y,z'
loop_
_atom_site_label
_atom_site_type_symbol
_atom_site_fract_x
_atom_site_fract_y
_atom_site_fract_z
Sr1 Sr 0.000 0.000 0.000
Sr2 Sr 0.500 0.500 0.000
Sc1 Sc 0.000 0.500 0.500
U1 U 0.500 0.000 0.500
P1 P 0.240 0.000 0.708
P2 P 0.263 0.500 0.291
P3 P 0.737 0.500 0.709
P4 P 0.760 0.000 0.292
```


Number 1: Fermi-level density of states 8.614 states/eV/f.u.. Number 2: Fermi-level density of states 27.078 states/eV/f.u.. Number 3: Fermi-level density of states 5.580 states/eV/f.u..